Record 1
Compound: Ac2MgGe3Pd12
Source: Alexandria
Functional: PBE
Structure: relaxed

As for the energy of formation: -41.9 kJ/mol of atoms. As for the magnetization: 0.00 μB/f.u. For the total energy, the calculation gives -5.211 eV per atom.

The space group is R-3m (No. 166, hexagonal axes) and the conventional cell measures 9.3668, 9.3668 and 13.3578 Å, with angles of 90.00, 90.00 and 120.00 degrees. The distinct sites, in fractional coordinates, are Ac at (0.0000, 0.0000, 0.1456), Mg at (0.0000, 0.0000, 0.5000), Ge at (0.0000, 0.5000, 0.0000), Pd at (0.0080, 0.5040, 0.1850) and Pd at (0.0206, 0.5103, 0.3872).

---

Record 2
Compound: AcMgGePd
Source: Alexandria
Functional: PBE
Structure: relaxed

As for the energy of formation: -60.2 kJ/mol of atoms. As for the magnetization: 0.00 μB/f.u. For the energy above the most stable polymorph in this dataset, the calculation gives 0.0 meV/atom. For the total energy, the calculation gives -4.502 eV per atom.

The space group is Cm (No. 8) and the conventional cell measures 7.980, 4.596 and 5.925 Å, with angles of 90.00, 116.69 and 90.00 degrees. The distinct sites, in fractional coordinates, are Ac at (0.000, 0.000, 0.000), Mg at (0.007, 0.500, 0.521), Ge at (0.289, 0.500, 0.368) and Pd at (0.203, 0.000, 0.608).

---

Record 3
Compound: Ac3MgGe2Pd6
Source: Alexandria
Functional: PBE
Structure: relaxed

As for the energy of formation: -64.2 kJ/mol of atoms. As for the magnetization: 0.00 μB/f.u. For the total energy, the calculation gives -5.192 eV per atom.

The space group is P-3m1 (No. 164) and the conventional cell measures 5.9909, 5.9909 and 8.9388 Å, with angles of 90.00, 90.00 and 120.00 degrees. The distinct sites, in fractional coordinates, are Ac at (0.0000, 0.0000, 0.0000), Ac at (0.3333, 0.6667, 0.6577), Mg at (0.0000, 0.0000, 0.5000), Ge at (0.3333, 0.6667, 0.0526) and Pd at (0.1744, 0.3487, 0.2826).

---

Question: Which formula does entry 3 have?
Answer: Ac3MgGe2Pd6